# 1
RbTe2CI: optimized geometry, GGA-PBE.

Structure (CIF):
```
data_RbTe2CI
_chemical_formula_sum 'Rb1 Te2 C1 I1'
_symmetry_space_group_name_H-M 'P 1'
_symmetry_Int_Tables_number 1
_symmetry_space_group_name_Hall 'P 1'
_cell_length_a 7.2854
_cell_length_b 7.2854
_cell_length_c 6.9509
_cell_angle_alpha 90.00
_cell_angle_beta 90.00
_cell_angle_gamma 90.00
loop_
_atom_site_label
_atom_site_fract_x
_atom_site_fract_y
_atom_site_fract_z
I1 0.0000 0.0000 0.5000
C1 0.5000 0.5000 0.5000
Te1 0.0000 0.5000 0.0000
Te2 0.5000 0.0000 0.0000
Rb1 0.0000 0.0000 0.0000
```

Space-group type: P4/mmm (123)
DOS at the Fermi energy: 16.24 states/eV/f.u.
Calculated total energy: -8.3 eV for the cell shown
Polymorph energy (0 for the lowest one): 1450 meV/atom

---

# 2
Rb2WCI6: optimized geometry, GGA-PBE.

Structure (CIF):
```
data_Rb2WCI6
_chemical_formula_sum 'Rb2 W1 C1 I6'
_symmetry_space_group_name_H-M 'P 1'
_symmetry_Int_Tables_number 1
_symmetry_space_group_name_Hall 'P 1'
_cell_length_a 7.7947
_cell_length_b 7.7947
_cell_length_c 8.3509
_cell_angle_alpha 62.18
_cell_angle_beta 62.18
_cell_angle_gamma 90.00
loop_
_atom_site_label
_atom_site_fract_x
_atom_site_fract_y
_atom_site_fract_z
I1 0.2223 0.2223 0.5553
I2 0.7777 0.7777 0.4447
I3 0.2562 0.2562 0.0000
I4 0.7438 0.7438 0.0000
I5 0.7438 0.2562 0.0000
I6 0.2562 0.7438 0.0000
C1 0.5000 0.5000 0.0000
Rb1 0.7500 0.2500 0.5000
Rb2 0.2500 0.7500 0.5000
W1 0.0000 0.0000 0.0000
```

Space-group type: I4/mmm (139)
DOS at the Fermi energy: 5.90 states/eV/f.u.
Calculated total energy: -32.8 eV for the cell shown

---

# 3
Rb2YCI6: optimized geometry, GGA-PBE.

Structure (CIF):
```
data_Rb2YCI6
_chemical_formula_sum 'Rb2 Y1 C1 I6'
_symmetry_space_group_name_H-M 'P 1'
_symmetry_Int_Tables_number 1
_symmetry_space_group_name_Hall 'P 1'
_cell_length_a 8.5761
_cell_length_b 8.5761
_cell_length_c 8.2666
_cell_angle_alpha 58.75
_cell_angle_beta 58.75
_cell_angle_gamma 90.00
loop_
_atom_site_label
_atom_site_fract_x
_atom_site_fract_y
_atom_site_fract_z
I1 0.2711 0.2711 0.4578
I2 0.7289 0.7289 0.5422
I3 0.2493 0.2493 0.0000
I4 0.7507 0.7507 0.0000
I5 0.7507 0.2493 0.0000
I6 0.2493 0.7507 0.0000
Y1 0.0000 0.0000 0.0000
C1 0.5000 0.5000 0.0000
Rb1 0.7500 0.2500 0.5000
Rb2 0.2500 0.7500 0.5000
```

Space-group type: I4/mmm (139)
DOS at the Fermi energy: 4.83 states/eV/f.u.
Calculated total energy: -32.1 eV for the cell shown

---

# 4
RbZr2CI: optimized geometry, GGA-PBE.

Structure (CIF):
```
data_RbZr2CI
_chemical_formula_sum 'Rb1 Zr2 C1 I1'
_symmetry_space_group_name_H-M 'P 1'
_symmetry_Int_Tables_number 1
_symmetry_space_group_name_Hall 'P 1'
_cell_length_a 4.5438
_cell_length_b 8.2051
_cell_length_c 4.5438
_cell_angle_alpha 90.00
_cell_angle_beta 90.00
_cell_angle_gamma 90.00
loop_
_atom_site_label
_atom_site_fract_x
_atom_site_fract_y
_atom_site_fract_z
I1 0.0000 0.5000 0.0000
C1 0.0000 0.0000 0.0000
Rb1 0.5000 0.5000 0.5000
Zr1 0.0000 0.0000 0.5000
Zr2 0.5000 0.0000 0.0000
```

Space-group type: P4/mmm (123)
DOS at the Fermi energy: 5.63 states/eV/f.u.
Calculated total energy: -27.3 eV for the cell shown

---

# 5
RbZr6CI14: optimized geometry, GGA-PBE.

Structure (CIF):
```
data_RbZr6CI14
_chemical_formula_sum 'Rb2 Zr12 C2 I28'
_symmetry_space_group_name_H-M 'P 1'
_symmetry_Int_Tables_number 1
_symmetry_space_group_name_Hall 'P 1'
_cell_length_a 11.2181
_cell_length_b 11.2181
_cell_length_c 13.0279
_cell_angle_alpha 90.00
_cell_angle_beta 90.00
_cell_angle_gamma 91.37
loop_
_atom_site_label
_atom_site_fract_x
_atom_site_fract_y
_atom_site_fract_z
Rb1 0.5000 0.5000 0.0000
Rb2 0.0000 0.0000 0.5000
Zr1 0.3785 0.3785 0.5922
Zr2 0.6215 0.6215 0.4078
Zr3 0.1215 0.1215 0.0922
Zr4 0.8785 0.8785 0.9078
Zr5 0.1608 0.9527 0.8919
Zr6 0.8392 0.0473 0.1081
Zr7 0.3392 0.5473 0.3919
Zr8 0.4527 0.6608 0.6081
Zr9 0.6608 0.4527 0.6081
Zr10 0.5473 0.3392 0.3919
Zr11 0.0473 0.8392 0.1081
Zr12 0.9527 0.1608 0.8919
C1 0.0000 0.0000 0.0000
C2 0.5000 0.5000 0.5000
I1 0.3480 0.0992 0.9900
I2 0.6520 0.9008 0.0100
I3 0.1520 0.4008 0.4900
I4 0.5992 0.8480 0.5100
I5 0.8480 0.5992 0.5100
I6 0.4008 0.1520 0.4900
I7 0.9008 0.6520 0.0100
I8 0.0992 0.3480 0.9900
I9 0.2509 0.7491 0.0000
I10 0.7491 0.2509 0.0000
I11 0.2491 0.7509 0.5000
I12 0.7509 0.2491 0.5000
I13 0.3875 0.8875 0.7500
I14 0.6125 0.1125 0.2500
I15 0.1125 0.6125 0.2500
I16 0.8875 0.3875 0.7500
I17 0.1418 0.1418 0.7372
I18 0.8582 0.8582 0.2628
I19 0.3582 0.3582 0.2372
I20 0.6418 0.6418 0.7628
I21 0.5353 0.2890 0.7488
I22 0.4647 0.7110 0.2512
I23 0.9647 0.2110 0.2488
I24 0.7890 0.0353 0.7512
I25 0.0353 0.7890 0.7512
I26 0.2110 0.9647 0.2488
I27 0.7110 0.4647 0.2512
I28 0.2890 0.5353 0.7488
```

Space-group type: Cmce (64)
DOS at the Fermi energy: 7.06 states/eV/f.u.
Calculated total energy: -210.8 eV for the cell shown

---

# 6
ReC2I: optimized geometry, GGA-PBE.

Structure (CIF):
```
data_ReC2I
_chemical_formula_sum 'Re1 C2 I1'
_symmetry_space_group_name_H-M 'P 1'
_symmetry_Int_Tables_number 1
_symmetry_space_group_name_Hall 'P 1'
_cell_length_a 4.0773
_cell_length_b 4.0773
_cell_length_c 4.0773
_cell_angle_alpha 60.00
_cell_angle_beta 60.00
_cell_angle_gamma 60.00
loop_
_atom_site_label
_atom_site_fract_x
_atom_site_fract_y
_atom_site_fract_z
I1 0.0000 0.0000 0.0000
Re1 0.5000 0.5000 0.5000
C1 0.2500 0.2500 0.2500
C2 0.7500 0.7500 0.7500
```

Space-group type: Fm-3m (225)
DOS at the Fermi energy: 2.27 states/eV/f.u.
Calculated total energy: -21.6 eV for the cell shown
Polymorph energy (0 for the lowest one): 1425 meV/atom

---

# 7
ReC2I: optimized geometry, GGA-PBE.

Structure (CIF):
```
data_ReC2I
_chemical_formula_sum 'Re2 C4 I2'
_symmetry_space_group_name_H-M 'P 1'
_symmetry_Int_Tables_number 1
_symmetry_space_group_name_Hall 'P 1'
_cell_length_a 6.1986
_cell_length_b 6.1986
_cell_length_c 6.2097
_cell_angle_alpha 60.06
_cell_angle_beta 60.06
_cell_angle_gamma 90.00
loop_
_atom_site_label
_atom_site_fract_x
_atom_site_fract_y
_atom_site_fract_z
I1 0.5000 0.5000 0.0000
I2 0.2500 0.7500 0.5000
Re1 0.0000 0.0000 0.0000
Re2 0.7500 0.2500 0.5000
C1 0.8743 0.1250 0.2500
C2 0.8757 0.6250 0.2500
C3 0.3750 0.1257 0.7500
C4 0.8750 0.1243 0.7500
```

Space-group type: I4_1/amd (141)
DOS at the Fermi energy: 4.94 states/eV/f.u.
Calculated total energy: -54.7 eV for the cell shown
Polymorph energy (0 for the lowest one): 0 meV/atom

---

# 8
ReC3I: optimized geometry, GGA-PBE.

Structure (CIF):
```
data_ReC3I
_chemical_formula_sum 'Re1 C3 I1'
_symmetry_space_group_name_H-M 'P 1'
_symmetry_Int_Tables_number 1
_symmetry_space_group_name_Hall 'P 1'
_cell_length_a 4.1684
_cell_length_b 4.1684
_cell_length_c 4.1684
_cell_angle_alpha 90.00
_cell_angle_beta 90.00
_cell_angle_gamma 90.00
loop_
_atom_site_label
_atom_site_fract_x
_atom_site_fract_y
_atom_site_fract_z
I1 0.5000 0.5000 0.5000
Re1 0.0000 0.0000 0.0000
C1 0.0000 0.5000 0.0000
C2 0.0000 0.0000 0.5000
C3 0.5000 0.0000 0.0000
```

Space-group type: Pm-3m (221)
DOS at the Fermi energy: 3.88 states/eV/f.u.
Calculated total energy: -31.3 eV for the cell shown
Polymorph energy (0 for the lowest one): 0 meV/atom

---

- What is the calculated total energy in the fifth record?
  -210.8 eV for the cell shown